Computed, not measured: crystalline DyEr3Tm2S6 at its relaxed geometry at the PBE-GGA level of DFT.

Structure (POSCAR):
```
DyEr3Tm2S6
1.0
3.3358 -5.8065 0.0000
3.3358 5.8065 0.0000
-2.2313 0.0000 6.3081
Dy Er Tm S
1 3 2 6
Direct
0.0000 0.0000 0.0000
0.1648 0.8352 0.5000
0.5000 0.5000 0.5000
0.8352 0.1648 0.5000
0.3337 0.6663 0.0000
0.6663 0.3337 0.0000
0.0833 0.4205 0.2503
0.2540 0.2540 0.7510
0.4205 0.0833 0.2503
0.5795 0.9167 0.7497
0.7460 0.7460 0.2490
0.9167 0.5795 0.7497
```

space-group type	C2/m (12)
total magnetization	0.00	μB per formula unit
formation energy without anion corrections	-1955	meV per atom


Computed, not measured: crystalline DyEr4TmS8 at its relaxed geometry at the PBE-GGA level of DFT.

Structure (POSCAR):
```
DyEr4TmS8
1.0
3.9892 2.3032 6.5084
-3.9892 2.3032 6.5084
0.0000 -4.6064 6.5084
Dy Er Tm S
1 4 1 8
Direct
0.0000 0.0000 0.0000
0.1254 0.6247 0.6247
0.2497 0.2497 0.2497
0.6247 0.1254 0.6247
0.6247 0.6247 0.1254
0.6248 0.6248 0.6248
0.3821 0.3821 0.3821
0.3834 0.3834 0.8520
0.3834 0.8520 0.3834
0.4005 0.8656 0.8656
0.8520 0.3834 0.3834
0.8656 0.4005 0.8656
0.8656 0.8656 0.4005
0.8666 0.8666 0.8666
```

space-group type	R3m (160)
total magnetization	0.00	μB per formula unit
formation energy without anion corrections	-1924	meV per atom


Computed, not measured: crystalline Dy4Er3TmS8 at its relaxed geometry at the PBE-GGA level of DFT.

Structure (POSCAR):
```
Dy4Er3TmS8
1.0
3.8786 2.2393 6.3519
-3.8786 2.2393 6.3519
0.0000 -4.4786 6.3519
Dy Er Tm S
4 3 1 8
Direct
0.0000 0.0000 0.0000
0.0000 0.5000 0.5000
0.5000 0.0000 0.5000
0.5000 0.5000 0.0000
0.0000 0.0000 0.5000
0.0000 0.5000 0.0000
0.5000 0.0000 0.0000
0.5000 0.5000 0.5000
0.2486 0.2486 0.2486
0.2494 0.7478 0.7478
0.2522 0.2522 0.7506
0.2522 0.7506 0.2522
0.7478 0.2494 0.7478
0.7478 0.7478 0.2494
0.7506 0.2522 0.2522
0.7514 0.7514 0.7514
```

space-group type	R-3m (166)
total magnetization	0.00	μB per formula unit
formation energy without anion corrections	-1967	meV per atom


The lowest formation energy without anion corrections belongs to which entry? Dy4Er3TmS8


Which formula does entry 2 have? DyEr4TmS8


Copy entry 1 word for word.
Computed, not measured: crystalline DyEr3Tm2S6 at its relaxed geometry at the PBE-GGA level of DFT.

Structure (POSCAR):
```
DyEr3Tm2S6
1.0
3.3358 -5.8065 0.0000
3.3358 5.8065 0.0000
-2.2313 0.0000 6.3081
Dy Er Tm S
1 3 2 6
Direct
0.0000 0.0000 0.0000
0.1648 0.8352 0.5000
0.5000 0.5000 0.5000
0.8352 0.1648 0.5000
0.3337 0.6663 0.0000
0.6663 0.3337 0.0000
0.0833 0.4205 0.2503
0.2540 0.2540 0.7510
0.4205 0.0833 0.2503
0.5795 0.9167 0.7497
0.7460 0.7460 0.2490
0.9167 0.5795 0.7497
```

space-group type	C2/m (12)
total magnetization	0.00	μB per formula unit
formation energy without anion corrections	-1955	meV per atom